Ba3Sn2: single point on PBEsol structure, meta-GGA SCAN.

## Properties
E_form ... -757 meV per atom
Space-group type ... P4_32_12 (96)
DFT total energy ... -38.86 eV per atom

Unit cell a=6.574 b=6.574 c=17.738 alpha=90.00 beta=90.00 gamma=90.00
Sites, in units of the cell vectors:
Ba 0.084 0.341 0.385
Ba 0.159 0.584 0.135
Ba 0.173 0.173 0.000
Ba 0.327 0.673 0.750
Ba 0.341 0.084 0.615
Ba 0.416 0.841 0.365
Ba 0.584 0.159 0.865
Ba 0.659 0.916 0.115
Ba 0.673 0.327 0.250
Ba 0.827 0.827 0.500
Ba 0.841 0.416 0.635
Ba 0.916 0.659 0.885
Sn 0.087 0.172 0.798
Sn 0.172 0.087 0.202
Sn 0.328 0.587 0.548
Sn 0.413 0.672 0.952
Sn 0.587 0.328 0.452
Sn 0.672 0.413 0.048
Sn 0.828 0.913 0.702
Sn 0.913 0.828 0.298